The following is a PBE-GGA calculation of a geometry-optimized Ac3PrIr structure, from Alexandria.

The calculation puts the spin magnetization at 0.00 μB per formula unit. For the density of states at the Fermi level, the calculation gives 13.89 states/eV per cell. As for the excess energy over the best structure of this formula in the dataset: 0.047 eV per atom. The calculation puts the formation energy at -0.268 eV per atom.

The structure belongs to space group Pmma (No. 51); the cell edges are 9.9407, 4.2254 and 9.5616 Å and the angles 90.00°, 90.00° and 90.00°. The inequivalent atoms are Ac at (0.0416, 0.0000, 0.2354), Ac at (0.2500, 0.5000, 0.5471), Pr at (0.2500, 0.5000, 0.9466) and Ir at (0.2500, 0.5000, 0.2432).